Record 1
A plane-wave DFT calculation with PBE was carried out for a relaxed BaTa2Sn crystal.

The density comes out at 7.8 g cm⁻³. For the energy of formation, the calculation gives 312 kJ/mol of formula units. The calculation puts the uncorrected energy at -6.599 eV per atom. The symmetry is I-42d.

Geometry as POSCAR:
```
BaTa2Sn
1.0
5.053 0.000 0.000
0.000 5.053 0.000
2.527 2.527 10.286
Ba Sn Ta
2 2 4
Direct
0.000 0.000 0.000
0.750 0.250 0.500
0.500 0.500 0.000
0.250 0.750 0.500
0.389 0.125 0.250
0.361 0.625 0.250
0.375 0.611 0.750
0.875 0.639 0.750
```

---

Record 2
A plane-wave DFT calculation with PBE was carried out for a relaxed Na2InSn2 crystal.

The energy above the most stable polymorph in this dataset is 0.0 meV per atom. The density comes out at 4.4 g cm⁻³. For the energy of formation, the calculation gives -75 kJ/mol of formula units. The calculation puts the uncorrected energy at -2.833 eV per atom. The symmetry is C2/m.

Geometry as POSCAR:
```
Na2InSn2
1.0
4.872 0.000 0.000
2.436 5.917 -0.098
2.436 0.717 10.301
Na In Sn
4 2 4
Direct
0.317 0.260 0.106
0.484 0.340 0.691
0.683 0.740 0.894
0.516 0.660 0.309
0.792 0.079 0.336
0.208 0.921 0.664
0.964 0.175 0.897
0.139 0.277 0.445
0.036 0.825 0.103
0.861 0.723 0.555
```

---

Record 3
A plane-wave DFT calculation with PBE was carried out for a relaxed HoMgPt2 crystal.

The density comes out at 13.0 g cm⁻³. For the energy of formation, the calculation gives -408 kJ/mol of formula units. The calculation puts the uncorrected energy at -5.621 eV per atom. The symmetry is P4/mmm.

Geometry as POSCAR:
```
HoMgPt2
1.0
3.354 0.000 0.000
0.000 3.354 0.000
0.000 0.000 6.597
Mg Ho Pt
1 1 2
Direct
0.500 0.500 0.000
0.500 0.500 0.500
0.000 0.000 0.770
0.000 0.000 0.230
```

---

Record 4
A plane-wave DFT calculation with PBE was carried out for a relaxed SrDy4Zn5 crystal.

The density comes out at 7.4 g cm⁻³. For the energy of formation, the calculation gives -293 kJ/mol of formula units. The calculation puts the uncorrected energy at -2.950 eV per atom. The symmetry is P4/mmm.

Geometry as POSCAR:
```
SrDy4Zn5
1.0
-2.981 2.020 0.401
-1.395 -2.499 2.222
7.605 8.398 14.224
Sr Dy Zn
1 4 5
Direct
0.000 0.000 0.000
0.000 0.000 0.211
0.000 0.000 0.404
0.000 0.000 0.596
0.000 0.000 0.789
0.500 0.500 0.121
0.500 0.500 0.306
0.500 0.500 0.500
0.500 0.500 0.694
0.500 0.500 0.879
```

---

Record 5
A plane-wave DFT calculation with PBE was carried out for a relaxed CdP2I2 crystal.

The energy above the most stable polymorph in this dataset is 18.3 meV per atom. The density comes out at 4.7 g cm⁻³. The calculation puts the uncorrected energy at -2.510 eV per atom. The calculation puts the uncorrected formation energy at 457 meV per atom. The symmetry is P4/mbm.

Geometry as POSCAR:
```
CdP2I2
1.0
-0.042 5.589 -5.321
-7.117 -2.085 -2.133
-1.958 3.215 3.392
I P Cd
4 4 2
Direct
0.173 0.673 0.500
0.673 0.827 0.500
0.827 0.327 0.500
0.327 0.173 0.500
0.256 0.756 0.000
0.756 0.744 0.000
0.744 0.244 0.000
0.244 0.256 0.000
0.000 0.000 0.000
0.500 0.500 0.000
```